MnPdPt2W (SCAN, PBEsol geometry); space group = P4/mmm (123); magnetic moment = 4.7 μB per formula unit; uncorrected energy = -51.27 eV/atom; calculated volume = 107.93 Å³/cell
1.0
4.783 0.000 0.000
0.000 4.783 0.000
0.000 0.000 4.718
Mn Pd Pt W
1 1 2 1
Direct
0.000 0.000 0.000
0.500 0.500 0.000
0.000 0.500 0.500
0.500 0.000 0.500
0.500 0.500 0.500

KNb2Bi2 (SCAN, PBEsol geometry); space group = I4/mmm (139); magnetic moment = 0.0 μB per formula unit; uncorrected energy = -46.37 eV/atom; calculated volume = 138.39 Å³/cell
1.0
-1.930 1.930 9.288
1.930 -1.930 9.288
1.930 1.930 -9.288
K Nb Bi
1 2 2
Direct
0.000 0.000 0.000
0.250 0.750 0.500
0.750 0.250 0.500
0.372 0.372 0.000
0.628 0.628 0.000

Question: What is the calculated volume in the second record?
Answer: 138.39 Å³/cell

Please write out number 1 again, unchanged.
MnPdPt2W (SCAN, PBEsol geometry); space group = P4/mmm (123); magnetic moment = 4.7 μB per formula unit; uncorrected energy = -51.27 eV/atom; calculated volume = 107.93 Å³/cell
1.0
4.783 0.000 0.000
0.000 4.783 0.000
0.000 0.000 4.718
Mn Pd Pt W
1 1 2 1
Direct
0.000 0.000 0.000
0.500 0.500 0.000
0.000 0.500 0.500
0.500 0.000 0.500
0.500 0.500 0.500